LiO, optimized geometry, DFT GGA-PBE; polymorph energy (0 for the lowest one) = 0.64 eV/f.u.; spin magnetization = 0.07 μB per atom; energy relative to the elements, uncorrected = -1.0824 eV per atom; E_tot = -4.5184 eV/atom
1.0
5.5498 0.0000 0.0000
0.0000 11.3883 0.0000
0.0000 0.0000 5.5266
Li O
16 16
direct
0.2828 0.0000 0.0000
0.9672 0.2500 0.7500
0.9672 0.7500 0.2500
0.5328 0.7500 0.2500
0.0328 0.7500 0.7500
0.4672 0.2500 0.2500
0.2828 0.5000 0.5000
0.7828 0.0000 0.5000
0.0328 0.2500 0.2500
0.2172 0.0000 0.5000
0.2172 0.5000 0.0000
0.5328 0.2500 0.7500
0.7828 0.5000 0.0000
0.7172 0.0000 0.0000
0.7172 0.5000 0.5000
0.4672 0.7500 0.7500
0.7500 0.6155 0.2500
0.5000 0.1345 0.0000
0.5000 0.8655 0.0000
0.7500 0.1155 0.7500
0.0000 0.6345 0.0000
0.5000 0.6345 0.5000
0.0000 0.1345 0.5000
0.7500 0.3845 0.7500
0.0000 0.3655 0.0000
0.2500 0.3845 0.2500
0.0000 0.8655 0.5000
0.5000 0.3655 0.5000
0.7500 0.8845 0.2500
0.2500 0.8845 0.7500
0.2500 0.6155 0.7500
0.2500 0.1155 0.2500

***

LiO8, optimized geometry, DFT GGA-PBE; polymorph energy (0 for the lowest one) = 5.70 eV/f.u.; spin magnetization = 0.51 μB per atom; energy relative to the elements, uncorrected = 0.3614 eV per atom; E_tot = -4.2585 eV/atom
1.0
-1.0254 4.4234 2.0576
-2.0788 -0.2073 5.4486
4.4074 2.4744 2.9160
O Li
8 1
direct
0.0000 0.4167 0.5833
0.4167 0.5833 0.5833
0.3934 0.0000 0.2133
0.0000 0.5833 0.4167
0.6066 0.7867 0.0000
0.5833 0.4167 0.4167
0.3934 0.2133 0.0000
0.6066 0.0000 0.7867
0.0000 0.0000 0.0000

***

> Which of these has the highest polymorph energy (0 for the lowest one)?

LiO8